Entry 1:
{"formula": "Ac2Hg2O5", "functional": "GGA-PBE", "state": "optimized geometry", "lattice": [[4.394, 0.000, 0.000], [0.000, 4.394, 0.000], [0.000, 0.000, 9.234]], "species": ["Ac", "Ac", "Hg", "Hg", "O", "O", "O", "O", "O"], "fractional_positions": [[0.000, 0.000, 0.245], [0.000, 0.000, 0.755], [0.500, 0.500, 0.000], [0.500, 0.500, 0.500], [0.000, 0.000, 0.500], [0.000, 0.500, 0.141], [0.000, 0.500, 0.859], [0.500, 0.000, 0.141], [0.500, 0.000, 0.859]], "e_above_lowest_polymorph_mev_per_atom": 57}


Entry 2:
{"formula": "K2TbO3", "functional": "GGA-PBE", "state": "optimized geometry", "lattice": [[6.104, 0.000, 0.000], [3.046, 5.303, 0.000], [0.027, -0.011, 6.436]], "species": ["K", "K", "K", "K", "Tb", "Tb", "O", "O", "O", "O", "O", "O"], "fractional_positions": [[0.000, 0.000, 0.000], [0.000, 0.000, 0.500], [0.334, 0.333, 0.001], [0.666, 0.667, 0.999], [0.333, 0.333, 0.501], [0.667, 0.667, 0.499], [0.002, 0.613, 0.300], [0.386, 0.614, 0.700], [0.388, 0.000, 0.300], [0.612, 0.000, 0.700], [0.614, 0.386, 0.300], [0.998, 0.387, 0.700]], "dft_energy_ev_per_atom": -5.597}


What did the first record say?
{"formula": "Ac2Hg2O5", "functional": "GGA-PBE", "state": "optimized geometry", "lattice": [[4.394, 0.000, 0.000], [0.000, 4.394, 0.000], [0.000, 0.000, 9.234]], "species": ["Ac", "Ac", "Hg", "Hg", "O", "O", "O", "O", "O"], "fractional_positions": [[0.000, 0.000, 0.245], [0.000, 0.000, 0.755], [0.500, 0.500, 0.000], [0.500, 0.500, 0.500], [0.000, 0.000, 0.500], [0.000, 0.500, 0.141], [0.000, 0.500, 0.859], [0.500, 0.000, 0.141], [0.500, 0.000, 0.859]], "e_above_lowest_polymorph_mev_per_atom": 57}